## SiPCl2 (PBE)

Data for a relaxed structure of SiPCl2.

The structure in extended XYZ format:
```
8
Lattice="-4.8735 4.8735 2.2717 4.8735 -4.8735 2.2717 4.8735 4.8735 -2.2717" Properties=species:S:1:pos:R:3 pbc="T T T"
Si 0.0000 0.0000 0.0000
Si 0.0000 4.8735 1.1359
P 4.8735 0.0000 1.1359
P 0.0000 0.0000 2.2717
Cl 0.1056 2.4367 0.5679
Cl -2.4367 4.7678 1.7038
Cl -0.1056 7.3102 0.5679
Cl 2.4367 4.9791 1.7038
```

Values from the calculation:
SG   I-42d (122)
Fermi-level density of states   0.796 states/eV per atom
Total energy   -0.24986 Ry/atom
Calculated volume   107.91 Å³/f.u.
E_form (uncorrected)   0.928 eV/f.u.